Record 1
# Pr2YCd2 (PBE-GGA, relaxed)
data_Pr2YCd2
_chemical_formula_sum 'Pr8 Y4 Cd8'
_cell_length_a 8.285
_cell_length_b 12.319
_cell_length_c 6.106
_cell_angle_alpha 90.00
_cell_angle_beta 90.00
_cell_angle_gamma 90.00
_space_group_name_H-M_alt 'I b a m'
_space_group_IT_number 72
_space_group_name_Hall '-I 2 2c'
loop_
_atom_site_label
_atom_site_type_symbol
_atom_site_fract_x
_atom_site_fract_y
_atom_site_fract_z
_atom_site_occupancy
Pr1 Pr 0.150 0.209 0.000 1
Y1 Y 0.000 0.500 0.250 1
Cd1 Cd 0.167 0.057 0.500 1
# - energy relative to the elements (eV/atom) = -0.052
# - E above lowest polymorph (eV per formula unit) = 1.02
# - VASP energy (eV/cell) = -72.45

---

Record 2
# KYTe (PBE-GGA, relaxed)
data_KYTe
_chemical_formula_sum 'K1 Y1 Te1'
_cell_length_a 4.2614
_cell_length_b 4.2614
_cell_length_c 7.9057
_cell_angle_alpha 90.00
_cell_angle_beta 90.00
_cell_angle_gamma 120.00
_space_group_name_H-M_alt 'P 3 m 1'
_space_group_IT_number 156
loop_
_space_group_symop_operation_xyz
'x,y,z'
'-y,x-y,z'
'-x+y,-x,z'
'-y,-x,z'
'-x+y,y,z'
'x,x-y,z'
loop_
_atom_site_label
_atom_site_type_symbol
_atom_site_fract_x
_atom_site_fract_y
_atom_site_fract_z
_atom_site_occupancy
K1 K 0.0000 0.0000 0.0000 1
Y1 Y 0.3333 0.6667 0.5426 1
Te1 Te 0.6667 0.3333 0.3197 1
# - E above lowest polymorph (eV per formula unit) = 0.49
# - VASP energy (eV/cell) = -12.59
# - raw formation energy (eV/atom) = -0.63

---

Record 3
# Ta2InCl (PBE-GGA, relaxed)
data_Ta2InCl
_chemical_formula_sum 'Ta8 In4 Cl4'
_cell_length_a 4.010
_cell_length_b 4.010
_cell_length_c 20.890
_cell_angle_alpha 90.00
_cell_angle_beta 90.00
_cell_angle_gamma 90.00
_space_group_name_H-M_alt 'I -4 2 d'
_space_group_IT_number 122
_space_group_name_Hall 'I -4 2bw'
loop_
_atom_site_label
_atom_site_type_symbol
_atom_site_fract_x
_atom_site_fract_y
_atom_site_fract_z
_atom_site_occupancy
Ta1 Ta 0.239 0.250 0.125 1
In1 In 0.000 0.000 0.000 1
Cl1 Cl 0.000 0.000 0.500 1
# - E above lowest polymorph (eV per formula unit) = 3.13
# - VASP energy (eV/cell) = -102.70
# - raw formation energy (eV/atom) = 0.65

---

Record 4
# Sc2CdC (PBE-GGA, relaxed)
data_Sc2CdC
_chemical_formula_sum 'Sc8 Cd4 C4'
_cell_length_a 6.669
_cell_length_b 6.669
_cell_length_c 7.239
_cell_angle_alpha 90.00
_cell_angle_beta 90.00
_cell_angle_gamma 90.00
_space_group_name_H-M_alt 'I -4 2 d'
_space_group_IT_number 122
_space_group_name_Hall 'I -4 2bw'
loop_
_atom_site_label
_atom_site_type_symbol
_atom_site_fract_x
_atom_site_fract_y
_atom_site_fract_z
_atom_site_occupancy
Sc1 Sc 0.153 0.750 0.125 1
Cd1 Cd 0.000 0.000 0.500 1
C1 C 0.000 0.000 0.000 1
# - energy relative to the elements (eV/atom) = -0.070
# - VASP energy (eV/cell) = -92.34

---

Record 5
# Na4Hg5Pd (PBE-GGA, relaxed)
data_Na4Hg5Pd
_chemical_formula_sum 'Na4 Hg5 Pd1'
_cell_length_a 3.635
_cell_length_b 3.635
_cell_length_c 18.058
_cell_angle_alpha 90.00
_cell_angle_beta 90.00
_cell_angle_gamma 90.00
_space_group_name_H-M_alt 'P 4/m m m'
_space_group_IT_number 123
_space_group_name_Hall '-P 4 2'
loop_
_atom_site_label
_atom_site_type_symbol
_atom_site_fract_x
_atom_site_fract_y
_atom_site_fract_z
_atom_site_occupancy
Na1 Na 0.000 0.000 0.106 1
Na2 Na 0.000 0.000 0.321 1
Hg1 Hg 0.500 0.500 0.000 1
Hg2 Hg 0.500 0.500 0.212 1
Hg3 Hg 0.500 0.500 0.418 1
Pd1 Pd 0.000 0.000 0.500 1
# - energy relative to the elements (eV/atom) = -0.215
# - E above lowest polymorph (eV per formula unit) = 0.00
# - VASP energy (eV/cell) = -14.13

---

Record 6
# PmSc2ReO8 (PBE-GGA, relaxed)
data_PmSc2ReO8
_chemical_formula_sum 'Pm2 Sc4 Re2 O16'
_cell_length_a 6.859
_cell_length_b 6.983
_cell_length_c 6.622
_cell_angle_alpha 90.00
_cell_angle_beta 90.00
_cell_angle_gamma 90.00
_space_group_name_H-M_alt 'C m m m'
_space_group_IT_number 65
_space_group_name_Hall '-C 2 2'
loop_
_atom_site_label
_atom_site_type_symbol
_atom_site_fract_x
_atom_site_fract_y
_atom_site_fract_z
_atom_site_occupancy
Pm1 Pm 0.000 0.000 0.000 1
Sc1 Sc 0.000 0.500 0.242 1
Re1 Re 0.000 0.000 0.500 1
O1 O 0.000 0.273 0.500 1
O2 O 0.000 0.322 0.000 1
O3 O 0.194 0.000 0.294 1
# - VASP energy (eV/cell) = -204.36
# - raw formation energy (eV/atom) = -2.72

---

Record 7
# Sm4Dy5Tm2 (PBE-GGA, relaxed)
data_Sm4Dy5Tm2
_chemical_formula_sum 'Sm8 Dy10 Tm4'
_cell_length_a 16.348
_cell_length_b 5.678
_cell_length_c 9.130
_cell_angle_alpha 90.00
_cell_angle_beta 123.14
_cell_angle_gamma 90.00
_space_group_name_H-M_alt 'C 1 2/m 1'
_space_group_IT_number 12
loop_
_space_group_symop_operation_xyz
'x,y,z'
'-x,-y,-z'
'-x,y,-z'
'x,-y,z'
'x+1/2,y+1/2,z'
'-x+1/2,-y+1/2,-z'
'-x+1/2,y+1/2,-z'
'x+1/2,-y+1/2,z'
loop_
_atom_site_label
_atom_site_type_symbol
_atom_site_fract_x
_atom_site_fract_y
_atom_site_fract_z
_atom_site_occupancy
Sm1 Sm 0.039 0.000 0.352 1
Sm2 Sm 0.193 0.500 0.417 1
Dy1 Dy 0.000 0.500 0.000 1
Dy2 Dy 0.146 0.000 0.127 1
Dy3 Dy 0.236 0.000 0.870 1
Tm1 Tm 0.101 0.500 0.690 1
# - energy relative to the elements (eV/atom) = 0.096
# - E above lowest polymorph (eV per formula unit) = 0.00
# - VASP energy (eV/cell) = -99.54

---

Record 8
# La9Al3N2 (PBE-GGA, relaxed)
data_La9Al3N2
_chemical_formula_sum 'La9 Al3 N2'
_cell_length_a 7.1677
_cell_length_b 7.1677
_cell_length_c 8.7739
_cell_angle_alpha 90.00
_cell_angle_beta 90.00
_cell_angle_gamma 120.00
_space_group_name_H-M_alt 'P -3 m 1'
_space_group_IT_number 164
_space_group_name_Hall '-P 3 2"'
loop_
_atom_site_label
_atom_site_type_symbol
_atom_site_fract_x
_atom_site_fract_y
_atom_site_fract_z
_atom_site_occupancy
La1 La 0.0000 0.5000 0.0000 1
La2 La 0.1707 0.3414 0.6707 1
Al1 Al 0.0000 0.0000 0.0000 1
Al2 Al 0.3333 0.6667 0.3345 1
N1 N 0.3333 0.6667 0.8267 1
# - VASP energy (eV/cell) = -80.25
# - raw formation energy (eV/atom) = -0.57

---

Record 9
# Sr2Br (PBE-GGA, relaxed)
data_Sr2Br
_chemical_formula_sum 'Sr2 Br1'
_cell_length_a 5.759
_cell_length_b 5.759
_cell_length_c 3.980
_cell_angle_alpha 90.00
_cell_angle_beta 90.00
_cell_angle_gamma 90.00
_space_group_name_H-M_alt 'P 4/m m m'
_space_group_IT_number 123
_space_group_name_Hall '-P 4 2'
loop_
_atom_site_label
_atom_site_type_symbol
_atom_site_fract_x
_atom_site_fract_y
_atom_site_fract_z
_atom_site_occupancy
Sr1 Sr 0.000 0.500 0.000 1
Br1 Br 0.000 0.000 0.500 1
# - E above lowest polymorph (eV per formula unit) = 1.10
# - VASP energy (eV/cell) = -6.83
# - raw formation energy (eV/atom) = -0.60

---

> Among the records above, which one has the highest VASP energy?

Sr2Br

---

Please write out number 6 again, unchanged.
# PmSc2ReO8 (PBE-GGA, relaxed)
data_PmSc2ReO8
_chemical_formula_sum 'Pm2 Sc4 Re2 O16'
_cell_length_a 6.859
_cell_length_b 6.983
_cell_length_c 6.622
_cell_angle_alpha 90.00
_cell_angle_beta 90.00
_cell_angle_gamma 90.00
_space_group_name_H-M_alt 'C m m m'
_space_group_IT_number 65
_space_group_name_Hall '-C 2 2'
loop_
_atom_site_label
_atom_site_type_symbol
_atom_site_fract_x
_atom_site_fract_y
_atom_site_fract_z
_atom_site_occupancy
Pm1 Pm 0.000 0.000 0.000 1
Sc1 Sc 0.000 0.500 0.242 1
Re1 Re 0.000 0.000 0.500 1
O1 O 0.000 0.273 0.500 1
O2 O 0.000 0.322 0.000 1
O3 O 0.194 0.000 0.294 1
# - VASP energy (eV/cell) = -204.36
# - raw formation energy (eV/atom) = -2.72

---

> The highest VASP energy belongs to which entry?

Sr2Br